An optimized crystal structure of Li4PaCl2. Source: OQMD via LeMat-Bulk, functional PBE.

Output
**Total energy**: -18.53 eV for the cell shown
**SG**: I4/mmm

abc: 8.1010 8.1010 8.1010
angles: 138.24 138.24 60.53
Closest atoms and distances in Å follow each position.
Fractional positions:
1 Cl 0.3859 0.3859 0.0000  1 Li 2.17
2 Cl 0.6141 0.6141 0.0000  1 Li 2.17
3 Li 0.2307 0.2307 0.0000  1 Cl 2.17
4 Li 0.7693 0.7693 0.0000  1 Cl 2.17
5 Li 0.5000 0.0000 0.5000  2 Pa 2.89
6 Li 0.0000 0.5000 0.5000  2 Pa 2.89
7 Pa 0.0000 0.0000 0.0000  6 Li 2.89-3.23